[1]
This record from Alexandria via LeMat-Bulk describes a geometry-optimized TaTe3O structure. The functional is GGA-PBE.

abc: 5.304 5.304 5.304
angles: 90.00 90.00 90.00
Fractional coordinates of all 5 atoms:
1 Te 0.000 0.500 0.000
2 Te 0.000 0.000 0.500
3 Te 0.500 0.000 0.000
4 O 0.500 0.500 0.500
5 Ta 0.000 0.000 0.000

SG: Pm-3m
formation energy without anion corrections: 697 meV per atom

[2]
This record from Alexandria via LeMat-Bulk describes a geometry-optimized TaTlTeO5 structure. The functional is GGA-PBE.

abc: 6.057 6.057 7.622
angles: 101.14 101.14 103.69
Fractional coordinates of all 16 atoms:
1 Ta 0.000 0.000 0.500
2 Ta 0.000 0.000 0.000
3 Tl 0.326 0.674 0.250
4 Tl 0.674 0.326 0.750
5 Te 0.671 0.329 0.250
6 Te 0.329 0.671 0.750
7 O 0.059 0.941 0.250
8 O 0.941 0.059 0.750
9 O 0.908 0.297 0.112
10 O 0.092 0.703 0.888
11 O 0.703 0.092 0.388
12 O 0.297 0.908 0.612
13 O 0.832 0.663 0.449
14 O 0.168 0.337 0.551
15 O 0.337 0.168 0.051
16 O 0.663 0.832 0.949

SG: C2/c
formation energy without anion corrections: -1651 meV per atom

[3]
This record from Alexandria via LeMat-Bulk describes a geometry-optimized Ta2TlTeO8 structure. The functional is GGA-PBE.

abc: 5.080 5.079 6.581
angles: 88.05 88.06 86.78
Fractional coordinates of all 12 atoms:
1 Ta 0.476 0.476 0.748
2 Ta 0.524 0.524 0.252
3 Tl 0.000 0.000 0.500
4 Te 0.000 0.000 0.000
5 O 0.201 0.752 0.225
6 O 0.689 0.689 0.013
7 O 0.753 0.202 0.225
8 O 0.799 0.248 0.775
9 O 0.311 0.311 0.987
10 O 0.247 0.798 0.775
11 O 0.668 0.669 0.484
12 O 0.332 0.331 0.516

SG: C2/m
formation energy without anion corrections: -1832 meV per atom

[4]
This record from Alexandria via LeMat-Bulk describes a geometry-optimized TaZnTeO6 structure. The functional is GGA-PBE.

abc: 5.336 5.336 9.112
angles: 90.00 90.00 120.00
Fractional coordinates of all 18 atoms:
1 Ta 0.333 0.667 0.250
2 Ta 0.667 0.333 0.750
3 Zn 0.000 0.000 0.000
4 Zn 0.000 0.000 0.500
5 Te 0.667 0.333 0.250
6 Te 0.333 0.667 0.750
7 O 0.646 0.653 0.132
8 O 0.007 0.354 0.132
9 O 0.354 0.007 0.632
10 O 0.993 0.646 0.868
11 O 0.347 0.354 0.368
12 O 0.007 0.653 0.368
13 O 0.653 0.007 0.868
14 O 0.646 0.993 0.368
15 O 0.993 0.347 0.632
16 O 0.347 0.993 0.132
17 O 0.653 0.646 0.632
18 O 0.354 0.347 0.868

SG: P-31c
formation energy without anion corrections: -1622 meV per atom

[5]
This record from Alexandria via LeMat-Bulk describes a geometry-optimized ThTa4O12 structure. The functional is GGA-PBE.

abc: 6.826 6.826 6.826
angles: 109.08 110.30 109.03
Fractional coordinates of all 17 atoms:
1 Th 0.000 0.500 0.500
2 Ta 0.500 0.000 0.000
3 Ta 0.000 0.500 0.000
4 Ta 0.000 0.000 0.500
5 Ta 0.500 0.500 0.500
6 O 0.209 0.738 0.947
7 O 0.031 0.739 0.292
8 O 0.446 0.739 0.708
9 O 0.270 0.042 0.772
10 O 0.730 0.501 0.772
11 O 0.209 0.262 0.470
12 O 0.791 0.738 0.530
13 O 0.730 0.958 0.228
14 O 0.270 0.499 0.228
15 O 0.554 0.261 0.292
16 O 0.969 0.261 0.708
17 O 0.791 0.262 0.053

SG: Immm
formation energy without anion corrections: -2994 meV per atom

[6]
This record from Alexandria via LeMat-Bulk describes a geometry-optimized ThTa3Tl2O12 structure. The functional is GGA-PBE.

abc: 6.929 6.929 6.929
angles: 66.72 66.72 66.72
Site moments in Bohr magnetons follow the coordinates.
Fractional coordinates of all 18 atoms:
1 Th 0.000 0.000 0.000  0.01
2 Ta 0.500 0.000 0.000  0.01
3 Ta 0.000 0.500 0.000  0.01
4 Ta 0.000 0.000 0.500  0.01
5 Tl 0.647 0.647 0.647  0.12
6 Tl 0.353 0.353 0.353  0.12
7 O 0.262 0.262 0.909  0.01
8 O 0.860 0.860 0.413  0.04
9 O 0.413 0.860 0.860  0.04
10 O 0.909 0.262 0.262  0.01
11 O 0.860 0.413 0.860  0.04
12 O 0.262 0.909 0.262  0.01
13 O 0.738 0.738 0.091  0.01
14 O 0.140 0.140 0.587  0.04
15 O 0.587 0.140 0.140  0.04
16 O 0.091 0.738 0.738  0.01
17 O 0.140 0.587 0.140  0.04
18 O 0.738 0.091 0.738  0.01

SG: R-3m
formation energy without anion corrections: -2303 meV per atom

Here are the calculated electronic total energy numbers, same order: -4.550, -6.920, -7.572, -6.735, -9.720, -8.259 (eV/atom).
Here are the calculated D(E_F) numbers, same order: 9.6, 0.0, 4.8, 11.3, 0.0, 5.3 (states/eV per cell).